(1)
Entry from Alexandria via LeMat-Bulk: an optimized crystal structure of NiOs4 (PBE-GGA).

Energy relative to the elements   2.0854 eV per atom
Relative energy among the computed polymorphs   1.937 eV/atom
Total DFT energy (no corrections)   -8.055 eV per atom
Volume   16.22 Å³ per atom

Cell lengths 4.329, 4.329, 4.329 Å; angles 90.00, 90.00, 90.00 degrees
Fractional coordinates of all 5 atoms:
Ni 0.000 0.000 0.000
Os 0.000 0.000 0.500
Os 0.000 0.500 0.000
Os 0.500 0.000 0.000
Os 0.500 0.500 0.500

=====

(2)
Entry from Alexandria via LeMat-Bulk: an optimized crystal structure of Ni5Os (PBE-GGA).

Energy relative to the elements   0.4457 eV per atom
Relative energy among the computed polymorphs   0.355 eV/atom
Total DFT energy (no corrections)   -6.244 eV per atom
Volume   12.17 Å³ per atom

Cell lengths 4.596, 4.596, 3.992 Å; angles 90.00, 90.00, 120.00 degrees
Fractional coordinates of all 6 atoms:
Ni 0.000 0.500 0.000
Ni 0.333 0.667 0.500
Ni 0.500 0.000 0.000
Ni 0.500 0.500 0.000
Ni 0.667 0.333 0.500
Os 0.000 0.000 0.500

=====

(3)
Entry from Alexandria via LeMat-Bulk: an optimized crystal structure of Ni3Os (PBE-GGA).

Energy relative to the elements   0.2506 eV per atom
Total DFT energy (no corrections)   -6.893 eV per atom
Volume   11.99 Å³ per atom

Cell lengths 4.775, 4.775, 4.775 Å; angles 117.01, 117.01, 117.01 degrees
Fractional coordinates of all 4 atoms:
Ni 0.000 0.500 0.500
Ni 0.500 0.000 0.500
Ni 0.500 0.500 0.000
Os 0.000 0.000 0.000

=====

(4)
Entry from Alexandria via LeMat-Bulk: an optimized crystal structure of Ni5Os (PBE-GGA).

Energy relative to the elements   0.0913 eV per atom
Relative energy among the computed polymorphs   0.001 eV/atom
Total DFT energy (no corrections)   -6.598 eV per atom
Volume   11.55 Å³ per atom

Cell lengths 4.127, 6.690, 6.690 Å; angles 22.04, 90.00, 90.00 degrees
Fractional coordinates of all 6 atoms:
Ni 0.000 0.000 0.000
Ni 0.000 0.329 0.329
Ni 0.000 0.664 0.664
Ni 0.500 0.219 0.219
Ni 0.500 0.556 0.556
Os 0.500 0.888 0.888